Material: Pu4GeRu2
Method: DFT, PBE-GGA
State: optimized geometry

abc: 7.3792 7.3792 7.3792
angles: 108.62 111.19 108.62
Last column: nearest neighbours and their distance in Å.
Atoms (fractional coordinates):
Pu 0.9946 0.6073 0.7384  3 Ru 2.75-3.03, 2 Ge 2.90-3.07
Ru 0.8750 0.1100 0.4850  6 Pu 2.75-3.03
Pu 0.1311 0.3927 0.3873  3 Ru 2.75-3.03, 2 Ge 2.90-3.07
Ru 0.3750 0.8900 0.7650  6 Pu 2.75-3.03
Pu 0.6189 0.7561 0.5116  3 Ru 2.75-3.03, 2 Ge 2.90-3.07
Ru 0.2350 0.6100 0.1250  6 Pu 2.75-3.03
Ru 0.5150 0.3900 0.6250  6 Pu 2.75-3.03
Pu 0.7554 0.2439 0.8627  3 Ru 2.75-3.03, 2 Ge 2.90-3.07
Pu 0.2616 0.2561 0.8689  3 Ru 2.75-3.03, 2 Ge 2.90-3.07
Ge 0.0000 0.0000 0.0000  8 Pu 2.90-3.07
Pu 0.1373 0.8927 0.3811  3 Ru 2.75-3.03, 2 Ge 2.90-3.07
Pu 0.6127 0.7439 0.0054  3 Ru 2.75-3.03, 2 Ge 2.90-3.07
Pu 0.4884 0.1073 0.2446  3 Ru 2.75-3.03, 2 Ge 2.90-3.07
Ge 0.7500 0.5000 0.2500  8 Pu 2.90-3.07

Calculated values
For the formation energy from the elements, the calculation gives -161 meV per atom. The magnetization is 19.95 μB/f.u.